Record 1
The following is a GGA-PBE calculation of a geometry-optimized CsCuSe3 structure, from Alexandria.

Output
- space-group type = Pm-3m (221)
- offset from the most stable computed form (meV per atom) = 1882

a b c (Å): 5.872 5.872 5.872
angles (deg): 90.00 90.00 90.00
Element x y z (fractional)
Cs (0.000, 0.000, 0.000)
Cu (0.500, 0.500, 0.500)
Se (0.000, 0.500, 0.000)
Se (0.000, 0.000, 0.500)
Se (0.500, 0.000, 0.000)

Record 2
The following is a GGA-PBE calculation of a geometry-optimized NiOsRh structure, from Alexandria.

Output
- formation energy from the elements (eV per atom) = 0.0572
- space-group type = Imm2 (44)
- offset from the most stable computed form (meV per atom) = 0

a b c (Å): 4.561 4.561 4.561
angles (deg): 145.66 131.79 60.52
Element x y z (fractional)
Rh (0.667, 0.667, 0.000)
Os (0.336, 0.336, 0.000)
Ni (0.996, 0.996, 0.000)

Record 3
The following is a GGA-PBE calculation of a geometry-optimized Y3HfHg structure, from Alexandria.

Output
- formation energy from the elements (eV per atom) = 0.6363
- space-group type = Pm-3m (221)
- offset from the most stable computed form (meV per atom) = 0

a b c (Å): 5.570 5.570 5.570
angles (deg): 90.00 90.00 90.00
Site moments in Bohr magnetons follow the coordinates.
Element x y z (fractional)
Y (0.000, 0.500, 0.000)  0.03
Y (0.000, 0.000, 0.500)  0.04
Y (0.500, 0.000, 0.000)  0.05
Hf (0.500, 0.500, 0.500)  0.51
Hg (0.000, 0.000, 0.000)  -0.03

Record 4
The following is a GGA-PBE calculation of a geometry-optimized BaNbCo2As structure, from Alexandria.

Output
- formation energy from the elements (eV per atom) = 1.1871
- space-group type = P4/mmm (123)

a b c (Å): 4.582 6.058 4.582
angles (deg): 90.00 90.00 90.00
Site moments in Bohr magnetons follow the coordinates.
Element x y z (fractional)
As (0.500, 0.500, 0.500)  0.09
Nb (0.000, 0.000, 0.000)  -0.36
Co (0.000, 0.000, 0.500)  0.98
Co (0.500, 0.000, 0.000)  0.63
Ba (0.000, 0.500, 0.000)  0.00

Record 5
The following is a GGA-PBE calculation of a geometry-optimized CdMo2As structure, from Alexandria.

Output
- formation energy from the elements (eV per atom) = 0.3797
- space-group type = P2/m (10)
- offset from the most stable computed form (meV per atom) = 234

a b c (Å): 3.925 2.991 6.155
angles (deg): 72.58 90.00 90.00
Element x y z (fractional)
Mo (0.000, 0.073, 0.037)
Mo (0.000, 0.427, 0.463)
As (0.500, 0.250, 0.250)
Cd (0.500, 0.750, 0.750)

Record 6
The following is a GGA-PBE calculation of a geometry-optimized La2TbPrDy structure, from Alexandria.

Output
- formation energy from the elements (eV per atom) = 0.3428
- space-group type = Cmcm (63)

a b c (Å): 6.568 6.573 8.987
angles (deg): 111.45 90.00 90.00
Element x y z (fractional)
La (0.500, 0.248, 0.000)
La (0.000, 0.752, 0.000)
La (0.500, 0.752, 0.000)
La (0.000, 0.248, 0.000)
Tb (0.250, 0.843, 0.687)
Tb (0.750, 0.157, 0.313)
Pr (0.250, 0.659, 0.318)
Pr (0.750, 0.341, 0.682)
Dy (0.750, 0.754, 0.509)
Dy (0.250, 0.246, 0.491)

Record 7
The following is a GGA-PBE calculation of a geometry-optimized PaTe2Rh structure, from Alexandria.

Output
- space-group type = P2_1/c (14)
- offset from the most stable computed form (meV per atom) = 0

a b c (Å): 7.370 8.150 9.034
angles (deg): 117.61 90.00 90.00
Element x y z (fractional)
Pa (0.500, 0.250, 0.500)
Pa (0.000, 0.250, 0.500)
Pa (0.500, 0.750, 0.500)
Pa (0.000, 0.750, 0.500)
Te (0.749, 0.064, 0.167)
Te (0.249, 0.436, 0.833)
Te (0.251, 0.936, 0.833)
Te (0.751, 0.564, 0.167)
Te (0.750, 0.625, 0.720)
Te (0.250, 0.875, 0.280)
Te (0.250, 0.375, 0.280)
Te (0.750, 0.125, 0.720)
Rh (0.750, 0.428, 0.388)
Rh (0.250, 0.072, 0.612)
Rh (0.250, 0.572, 0.612)
Rh (0.750, 0.928, 0.388)

Record 8
The following is a GGA-PBE calculation of a geometry-optimized CdPd8Pt5 structure, from Alexandria.

Output
- formation energy from the elements (eV per atom) = 0.1255
- space-group type = I-4 (82)

a b c (Å): 6.735 6.735 6.735
angles (deg): 108.43 108.43 111.58
Element x y z (fractional)
Cd (0.250, 0.750, 0.500)
Pd (0.990, 0.778, 0.107)
Pd (0.222, 0.329, 0.213)
Pd (0.630, 0.801, 0.426)
Pd (0.199, 0.624, 0.829)
Pd (0.796, 0.370, 0.171)
Pd (0.117, 0.010, 0.787)
Pd (0.671, 0.883, 0.893)
Pd (0.376, 0.204, 0.574)
Pt (0.836, 0.254, 0.786)
Pt (0.746, 0.532, 0.581)
Pt (0.468, 0.050, 0.214)
Pt (0.500, 0.500, 0.000)
Pt (0.950, 0.164, 0.419)

Record 9
The following is a GGA-PBE calculation of a geometry-optimized Nd2HoV structure, from Alexandria.

Output
- formation energy from the elements (eV per atom) = 0.6308
- space-group type = R-3m (166)

a b c (Å): 3.438 3.438 11.809
angles (deg): 81.63 81.63 60.00
Site moments in Bohr magnetons follow the coordinates.
Element x y z (fractional)
Nd (0.082, 0.082, 0.755)  0.00
Nd (0.918, 0.918, 0.245)  0.00
Ho (0.500, 0.500, 0.500)  -0.01
V (0.000, 0.000, 0.000)  2.67

Record 10
The following is a GGA-PBE calculation of a geometry-optimized ErZrOs structure, from Alexandria.

Output
- formation energy from the elements (eV per atom) = -0.2100
- space-group type = I4mm (107)
- offset from the most stable computed form (meV per atom) = 112

a b c (Å): 3.339 3.339 6.268
angles (deg): 105.45 105.45 90.00
Site moments in Bohr magnetons follow the coordinates.
Element x y z (fractional)
Os (0.676, 0.676, 0.352)  0.06
Zr (0.303, 0.303, 0.607)  0.35
Er (0.021, 0.021, 0.041)  0.33

Record 11
The following is a GGA-PBE calculation of a geometry-optimized NdThSi2Rh5 structure, from Alexandria.

Output
- space-group type = P4/mmm (123)

a b c (Å): 4.073 4.073 10.947
angles (deg): 90.00 90.00 90.00
Element x y z (fractional)
Nd (0.000, 0.000, 0.500)
Th (0.000, 0.000, 0.000)
Si (0.500, 0.500, 0.289)
Si (0.500, 0.500, 0.711)
Rh (0.000, 0.500, 0.185)
Rh (0.500, 0.000, 0.185)
Rh (0.000, 0.500, 0.815)
Rh (0.500, 0.000, 0.815)
Rh (0.500, 0.500, 0.500)

Record 12
The following is a GGA-PBE calculation of a geometry-optimized BePt3F structure, from Alexandria.

Output
- space-group type = Pm-3m (221)
- offset from the most stable computed form (meV per atom) = 0

a b c (Å): 4.222 4.222 4.222
angles (deg): 90.00 90.00 90.00
Element x y z (fractional)
Be (0.000, 0.000, 0.000)
Pt (0.000, 0.500, 0.000)
Pt (0.000, 0.000, 0.500)
Pt (0.500, 0.000, 0.000)
F (0.500, 0.500, 0.500)

Record 13
The following is a GGA-PBE calculation of a geometry-optimized CaHBrF2 structure, from Alexandria.

Output
- space-group type = P2_1/m (11)

a b c (Å): 4.107 5.218 7.151
angles (deg): 102.65 90.00 90.00
Element x y z (fractional)
Ca (0.750, 0.837, 0.267)
Ca (0.250, 0.163, 0.733)
H (0.750, 0.625, 0.628)
H (0.250, 0.375, 0.372)
Br (0.750, 0.270, 0.065)
Br (0.250, 0.730, 0.935)
F (0.250, 0.572, 0.376)
F (0.250, 0.112, 0.397)
F (0.750, 0.888, 0.603)
F (0.750, 0.428, 0.624)

Record 14
The following is a GGA-PBE calculation of a geometry-optimized LaSmYHo2 structure, from Alexandria.

Output
- formation energy from the elements (eV per atom) = 0.3561
- space-group type = Cmcm (63)

a b c (Å): 7.241 8.427 7.162
angles (deg): 126.04 90.00 90.00
Element x y z (fractional)
La (0.750, 0.728, 0.457)
La (0.250, 0.272, 0.543)
Sm (0.250, 0.009, 0.018)
Sm (0.750, 0.991, 0.982)
Y (0.250, 0.724, 0.449)
Y (0.750, 0.276, 0.551)
Ho (0.500, 0.312, 0.000)
Ho (0.000, 0.688, 0.000)
Ho (0.500, 0.688, 0.000)
Ho (0.000, 0.312, 0.000)

Record 15
The following is a GGA-PBE calculation of a geometry-optimized PrGdInCo structure, from Alexandria.

Output
- formation energy from the elements (eV per atom) = -0.1302
- space-group type = F-43m (216)

a b c (Å): 5.227 5.227 5.227
angles (deg): 60.00 60.00 60.00
Site moments in Bohr magnetons follow the coordinates.
Element x y z (fractional)
Pr (0.750, 0.750, 0.750)  0.09
Gd (0.250, 0.250, 0.250)  7.13
Co (0.500, 0.500, 0.500)  -1.56
In (0.000, 0.000, 0.000)  -0.05

Record 16
The following is a GGA-PBE calculation of a geometry-optimized UNi3Ir structure, from Alexandria.

Output
- formation energy from the elements (eV per atom) = 0.1382
- space-group type = Cmcm (63)

a b c (Å): 4.721 4.599 7.644
angles (deg): 72.49 90.00 90.00
Site moments in Bohr magnetons follow the coordinates.
Element x y z (fractional)
U (0.750, 0.153, 0.694)  1.03
U (0.250, 0.847, 0.306)  1.03
Ni (0.750, 0.560, 0.377)  -0.11
Ni (0.750, 0.063, 0.377)  -0.11
Ni (0.250, 0.937, 0.623)  -0.11
Ni (0.250, 0.440, 0.623)  -0.11
Ni (0.000, 0.000, 0.000)  -0.09
Ni (0.500, 0.000, 0.000)  -0.09
Ir (0.750, 0.468, 0.065)  -0.05
Ir (0.250, 0.532, 0.935)  -0.05

Record 17
The following is a GGA-PBE calculation of a geometry-optimized CsK2CdSe structure, from Alexandria.

Output
- space-group type = P4/mmm (123)

a b c (Å): 6.320 6.320 7.057
angles (deg): 90.00 90.00 90.00
Element x y z (fractional)
Cs (0.000, 0.000, 0.500)
K (0.000, 0.500, 0.000)
K (0.500, 0.000, 0.000)
Se (0.000, 0.000, 0.000)
Cd (0.500, 0.500, 0.500)

Record 18
The following is a GGA-PBE calculation of a geometry-optimized Ac5In2Si structure, from Alexandria.

Output
- space-group type = Pbam (55)

a b c (Å): 5.489 7.462 14.001
angles (deg): 90.00 90.00 90.00
Element x y z (fractional)
Ac (0.000, 0.000, 0.500)
Ac (0.000, 0.500, 0.000)
Ac (0.000, 0.863, 0.214)
Ac (0.000, 0.137, 0.786)
Ac (0.000, 0.637, 0.714)
Ac (0.000, 0.363, 0.286)
Ac (0.500, 0.662, 0.412)
Ac (0.500, 0.338, 0.588)
Ac (0.500, 0.838, 0.912)
Ac (0.500, 0.162, 0.088)
In (0.500, 0.607, 0.155)
In (0.500, 0.393, 0.845)
In (0.500, 0.893, 0.655)
In (0.500, 0.107, 0.345)
Si (0.000, 0.500, 0.500)
Si (0.000, 0.000, 0.000)

Record 19
The following is a GGA-PBE calculation of a geometry-optimized SmTm2Zn9 structure, from Alexandria.

Output
- formation energy from the elements (eV per atom) = -0.3201
- space-group type = R-3m (166)

a b c (Å): 5.433 5.433 9.101
angles (deg): 72.63 72.63 60.00
Element x y z (fractional)
Sm (0.000, 0.000, 0.000)
Tm (0.859, 0.859, 0.422)
Tm (0.141, 0.141, 0.578)
Zn (0.665, 0.665, 0.005)
Zn (0.335, 0.335, 0.995)
Zn (0.500, 0.500, 0.500)
Zn (0.413, 0.413, 0.251)
Zn (0.923, 0.413, 0.251)
Zn (0.413, 0.923, 0.251)
Zn (0.587, 0.587, 0.749)
Zn (0.587, 0.077, 0.749)
Zn (0.077, 0.587, 0.749)

Record 20
The following is a GGA-PBE calculation of a geometry-optimized BiBPd5 structure, from Alexandria.

Output
- formation energy from the elements (eV per atom) = -0.1198
- space-group type = Imma (74)

a b c (Å): 6.902 6.902 8.199
angles (deg): 53.56 53.56 75.85
Element x y z (fractional)
Bi (0.609, 0.391, 0.250)
Bi (0.391, 0.609, 0.750)
B (0.000, 0.000, 0.000)
B (0.000, 0.000, 0.500)
Pd (0.715, 0.715, 0.285)
Pd (0.232, 0.768, 0.422)
Pd (0.715, 0.715, 0.785)
Pd (0.931, 0.069, 0.250)
Pd (0.232, 0.768, 0.078)
Pd (0.768, 0.232, 0.922)
Pd (0.069, 0.931, 0.750)
Pd (0.285, 0.285, 0.215)
Pd (0.768, 0.232, 0.578)
Pd (0.285, 0.285, 0.715)

Record 21
The following is a GGA-PBE calculation of a geometry-optimized PmDy5Ru4 structure, from Alexandria.

Output
- formation energy from the elements (eV per atom) = -0.2867
- space-group type = P4/mmm (123)

a b c (Å): 3.412 3.412 19.253
angles (deg): 90.00 90.00 90.00
Element x y z (fractional)
Pm (0.000, 0.000, 0.000)
Dy (0.500, 0.500, 0.149)
Dy (0.500, 0.500, 0.325)
Dy (0.500, 0.500, 0.500)
Dy (0.500, 0.500, 0.675)
Dy (0.500, 0.500, 0.851)
Ru (0.000, 0.000, 0.231)
Ru (0.000, 0.000, 0.412)
Ru (0.000, 0.000, 0.588)
Ru (0.000, 0.000, 0.769)

Record 22
The following is a GGA-PBE calculation of a geometry-optimized Pr4ScTl2 structure, from Alexandria.

Output
- formation energy from the elements (eV per atom) = 0.1380
- space-group type = Fmmm (69)
- offset from the most stable computed form (meV per atom) = 150

a b c (Å): 5.901 5.901 7.856
angles (deg): 112.04 111.99 90.06
Element x y z (fractional)
Pr (0.750, 0.250, 0.500)
Pr (0.250, 0.750, 0.500)
Pr (0.500, 0.000, 0.000)
Pr (0.000, 0.500, 0.000)
Sc (0.000, 0.000, 0.000)
Tl (0.626, 0.626, 0.252)
Tl (0.374, 0.374, 0.748)

Record 23
The following is a GGA-PBE calculation of a geometry-optimized Li3SmCu8 structure, from Alexandria.

Output
- formation energy from the elements (eV per atom) = -0.1072
- space-group type = R3m (160)
- offset from the most stable computed form (meV per atom) = 4

a b c (Å): 5.017 5.017 8.642
angles (deg): 73.13 73.13 60.00
Element x y z (fractional)
Li (0.373, 0.373, 0.880)
Li (0.007, 0.007, 0.980)
Li (0.487, 0.487, 0.539)
Sm (0.875, 0.875, 0.374)
Cu (0.942, 0.441, 0.177)
Cu (0.433, 0.938, 0.692)
Cu (0.441, 0.441, 0.177)
Cu (0.938, 0.938, 0.692)
Cu (0.187, 0.187, 0.439)
Cu (0.689, 0.689, 0.934)
Cu (0.441, 0.942, 0.177)
Cu (0.938, 0.433, 0.692)

no.,calculated total energy (eV for the cell shown),M_tot (μB/cell)
1,-8.381,0.004
2,-24.191,0.000
3,-26.466,1.284
4,-24.918,1.425
5,-25.708,0.000
6,-44.305,0.000
7,-105.428,0.000
8,-70.904,0.000
9,-20.709,3.209
10,-24.971,1.046
11,-66.058,0.000
12,-22.355,0.000
13,-45.378,0.000
14,-46.971,0.000
15,-29.226,5.918
16,-73.604,1.444
17,-10.018,0.001
18,-68.493,0.000
19,-28.969,0.000
20,-74.722,0.000
21,-67.732,0.000
22,-29.216,0.000
23,-44.517,0.000